## K2BeSb (SCAN)

Data for a crystal of K2BeSb relaxed with PBEsol.

Properties
Fermi-level density of states: 2.327 states/eV per cell
space group: No. 99
raw formation energy: 0.2038 eV per atom

a = 3.720 Å, b = 3.720 Å, c = 10.001 Å
α = 90.00°, β = 90.00°, γ = 90.00°
Fractional coordinates of all 4 atoms:
K  0.000  0.000  0.000
K  0.500  0.500  0.396
Be  0.500  0.500  0.704
Sb  0.000  0.000  0.665

## AlSe3 (SCAN)

Data for a crystal of AlSe3 relaxed with PBEsol.

Properties
Fermi-level density of states: 3.310 states/eV per cell
space group: No. 63
raw formation energy: 0.0997 eV per atom

a = 7.295 Å, b = 7.295 Å, c = 3.990 Å
α = 90.00°, β = 90.00°, γ = 120.41°
Fractional coordinates of all 8 atoms:
Al  0.069  0.931  0.750
Al  0.931  0.069  0.250
Se  0.105  0.462  0.250
Se  0.430  0.570  0.750
Se  0.462  0.105  0.750
Se  0.538  0.895  0.250
Se  0.570  0.430  0.250
Se  0.895  0.538  0.750

Q: What is the Fermi-level density of states in the second record?
A: 3.310 states/eV per cell

Q: Which value of Fermi-level density of states does entry 1 give?
A: 2.327 states/eV per cell